Record 1
An optimized crystal structure of YTaOs2, computed with PBE.

Output
DOS at the Fermi energy in states/eV/f.u.: 2.3
SG: I-42d, No. 122
Raw total energy in eV per atom: -9.742

The structure in CIF format:
```
data_YTaOs2
_cell_length_a 5.957
_cell_length_b 5.957
_cell_length_c 5.957
_cell_angle_alpha 104.05
_cell_angle_beta 104.05
_cell_angle_gamma 120.97
_space_group_name_H-M_alt 'P 1'
_space_group_IT_number 1
loop_
_space_group_symop_operation_xyz
'x,y,z'
loop_
_atom_site_label
_atom_site_type_symbol
_atom_site_fract_x
_atom_site_fract_y
_atom_site_fract_z
Y1 Y 0.000 0.000 0.000
Y2 Y 0.750 0.250 0.500
Ta1 Ta 0.250 0.750 0.500
Ta2 Ta 0.500 0.500 0.000
Os1 Os 0.160 0.625 0.035
Os2 Os 0.375 0.410 0.535
Os3 Os 0.590 0.125 0.965
Os4 Os 0.875 0.840 0.465
```

***

Record 2
An optimized crystal structure of NbC, computed with PBE.

Output
DOS at the Fermi energy in states/eV/f.u.: 0.8
Relative energy among the computed polymorphs in meV/atom: 651.9
SG: P6_3/m, No. 176

The structure in CIF format:
```
data_NbC
_cell_length_a 8.036
_cell_length_b 8.036
_cell_length_c 3.596
_cell_angle_alpha 90.00
_cell_angle_beta 90.00
_cell_angle_gamma 120.00
_space_group_name_H-M_alt 'P 1'
_space_group_IT_number 1
loop_
_space_group_symop_operation_xyz
'x,y,z'
loop_
_atom_site_label
_atom_site_type_symbol
_atom_site_fract_x
_atom_site_fract_y
_atom_site_fract_z
Nb1 Nb 0.113 0.679 0.250
Nb2 Nb 0.321 0.434 0.250
Nb3 Nb 0.434 0.113 0.750
Nb4 Nb 0.566 0.887 0.250
Nb5 Nb 0.679 0.566 0.750
Nb6 Nb 0.887 0.321 0.750
C1 C 0.038 0.378 0.250
C2 C 0.340 0.962 0.250
C3 C 0.378 0.340 0.750
C4 C 0.622 0.660 0.250
C5 C 0.660 0.038 0.750
C6 C 0.962 0.622 0.750
```

***

Record 3
An optimized crystal structure of Mg6InPt2, computed with PBE.

Output
DOS at the Fermi energy in states/eV/f.u.: 4.1
SG: Immm, No. 71
Raw total energy in eV per atom: -3.191

The structure in CIF format:
```
data_Mg6InPt2
_cell_length_a 7.924
_cell_length_b 7.924
_cell_length_c 7.924
_cell_angle_alpha 115.74
_cell_angle_beta 113.28
_cell_angle_gamma 99.81
_space_group_name_H-M_alt 'P 1'
_space_group_IT_number 1
loop_
_space_group_symop_operation_xyz
'x,y,z'
loop_
_atom_site_label
_atom_site_type_symbol
_atom_site_fract_x
_atom_site_fract_y
_atom_site_fract_z
Mg1 Mg 0.031 0.842 0.189
Mg2 Mg 0.247 0.541 0.294
Mg3 Mg 0.247 0.954 0.706
Mg4 Mg 0.298 0.311 0.610
Mg5 Mg 0.298 0.689 0.987
Mg6 Mg 0.347 0.158 0.189
Mg7 Mg 0.653 0.842 0.811
Mg8 Mg 0.702 0.311 0.013
Mg9 Mg 0.702 0.689 0.390
Mg10 Mg 0.753 0.046 0.294
Mg11 Mg 0.753 0.459 0.706
Mg12 Mg 0.969 0.158 0.811
In1 In 0.000 0.500 0.500
In2 In 0.500 0.000 0.500
Pt1 Pt 0.000 0.180 0.180
Pt2 Pt 0.000 0.820 0.820
Pt3 Pt 0.362 0.362 0.000
Pt4 Pt 0.638 0.638 0.000
```

***

Record 4
An optimized crystal structure of FeReB2, computed with PBE.

Output
DOS at the Fermi energy in states/eV/f.u.: 1.8
Relative energy among the computed polymorphs in meV/atom: 0.0
SG: Pmmn, No. 59

The structure in CIF format:
```
data_FeReB2
_cell_length_a 2.910
_cell_length_b 5.731
_cell_length_c 4.561
_cell_angle_alpha 90.00
_cell_angle_beta 90.00
_cell_angle_gamma 90.00
_space_group_name_H-M_alt 'P 1'
_space_group_IT_number 1
loop_
_space_group_symop_operation_xyz
'x,y,z'
loop_
_atom_site_label
_atom_site_type_symbol
_atom_site_fract_x
_atom_site_fract_y
_atom_site_fract_z
Fe1 Fe 0.250 0.250 0.235
Fe2 Fe 0.750 0.750 0.765
Re1 Re 0.250 0.750 0.296
Re2 Re 0.750 0.250 0.704
B1 B 0.250 0.506 0.884
B2 B 0.250 0.994 0.884
B3 B 0.750 0.006 0.116
B4 B 0.750 0.494 0.116
```

***

Record 5
An optimized crystal structure of Zr3Tc2Rh, computed with PBE.

Output
DOS at the Fermi energy in states/eV/f.u.: 4.5
SG: P4/mmm, No. 123
Raw total energy in eV per atom: -9.518

The structure in CIF format:
```
data_Zr3Tc2Rh
_cell_length_a 3.300
_cell_length_b 3.300
_cell_length_c 9.863
_cell_angle_alpha 90.00
_cell_angle_beta 90.00
_cell_angle_gamma 90.00
_space_group_name_H-M_alt 'P 1'
_space_group_IT_number 1
loop_
_space_group_symop_operation_xyz
'x,y,z'
loop_
_atom_site_label
_atom_site_type_symbol
_atom_site_fract_x
_atom_site_fract_y
_atom_site_fract_z
Zr1 Zr 0.000 0.000 0.000
Zr2 Zr 0.000 0.000 0.329
Zr3 Zr 0.000 0.000 0.671
Tc1 Tc 0.500 0.500 0.170
Tc2 Tc 0.500 0.500 0.830
Rh1 Rh 0.500 0.500 0.500
```

***

Record 6
An optimized crystal structure of Y6P2Se3Br, computed with PBE.

Output
Formation energy without anion corrections in eV/atom: -1.6508
DOS at the Fermi energy in states/eV/f.u.: 4.7
SG: C2/m, No. 12

The structure in CIF format:
```
data_Y6P2Se3Br
_cell_length_a 9.099
_cell_length_b 9.099
_cell_length_c 8.217
_cell_angle_alpha 102.24
_cell_angle_beta 102.24
_cell_angle_gamma 25.81
_space_group_name_H-M_alt 'P 1'
_space_group_IT_number 1
loop_
_space_group_symop_operation_xyz
'x,y,z'
loop_
_atom_site_label
_atom_site_type_symbol
_atom_site_fract_x
_atom_site_fract_y
_atom_site_fract_z
Y1 Y 0.011 0.011 0.278
Y2 Y 0.322 0.322 0.885
Y3 Y 0.328 0.328 0.428
Y4 Y 0.672 0.672 0.572
Y5 Y 0.678 0.678 0.115
Y6 Y 0.989 0.989 0.722
P1 P 0.168 0.168 0.336
P2 P 0.832 0.832 0.664
Se1 Se 0.158 0.158 0.839
Se2 Se 0.500 0.500 0.500
Se3 Se 0.842 0.842 0.161
Br1 Br 0.500 0.500 0.000
```

***

Record 7
An optimized crystal structure of Ba3TiAl10O20, computed with PBE.

Output
Formation energy without anion corrections in eV/atom: -3.0408
DOS at the Fermi energy in states/eV/f.u.: 0.0
SG: C2/m, No. 12

The structure in CIF format:
```
data_Ba3TiAl10O20
_cell_length_a 9.762
_cell_length_b 9.762
_cell_length_c 5.035
_cell_angle_alpha 104.39
_cell_angle_beta 104.39
_cell_angle_gamma 72.23
_space_group_name_H-M_alt 'P 1'
_space_group_IT_number 1
loop_
_space_group_symop_operation_xyz
'x,y,z'
loop_
_atom_site_label
_atom_site_type_symbol
_atom_site_fract_x
_atom_site_fract_y
_atom_site_fract_z
Ba1 Ba 0.000 0.000 0.000
Ba2 Ba 0.278 0.278 0.255
Ba3 Ba 0.722 0.722 0.745
Ti1 Ti 0.500 0.500 0.000
Al1 Al 0.007 0.287 0.660
Al2 Al 0.149 0.577 0.837
Al3 Al 0.287 0.007 0.660
Al4 Al 0.363 0.637 0.500
Al5 Al 0.423 0.851 0.163
Al6 Al 0.577 0.149 0.837
Al7 Al 0.637 0.363 0.500
Al8 Al 0.713 0.993 0.340
Al9 Al 0.851 0.423 0.163
Al10 Al 0.993 0.713 0.340
O1 O 0.012 0.711 0.999
O2 O 0.107 0.107 0.534
O3 O 0.117 0.405 0.689
O4 O 0.170 0.660 0.567
O5 O 0.289 0.988 0.001
O6 O 0.306 0.552 0.112
O7 O 0.340 0.830 0.433
O8 O 0.405 0.117 0.689
O9 O 0.438 0.438 0.607
O10 O 0.448 0.694 0.888
O11 O 0.552 0.306 0.112
O12 O 0.562 0.562 0.393
O13 O 0.595 0.883 0.311
O14 O 0.660 0.170 0.567
O15 O 0.694 0.448 0.888
O16 O 0.711 0.012 0.999
O17 O 0.830 0.340 0.433
O18 O 0.883 0.595 0.311
O19 O 0.893 0.893 0.466
O20 O 0.988 0.289 0.001
```

***

Record 8
An optimized crystal structure of Hf2CrFe, computed with PBE.

Output
DOS at the Fermi energy in states/eV/f.u.: 3.5
SG: P4/mmm, No. 123
Raw total energy in eV per atom: -9.587

The structure in CIF format:
```
data_Hf2CrFe
_cell_length_a 3.173
_cell_length_b 3.173
_cell_length_c 6.425
_cell_angle_alpha 90.00
_cell_angle_beta 90.00
_cell_angle_gamma 90.00
_space_group_name_H-M_alt 'P 1'
_space_group_IT_number 1
loop_
_space_group_symop_operation_xyz
'x,y,z'
loop_
_atom_site_label
_atom_site_type_symbol
_atom_site_fract_x
_atom_site_fract_y
_atom_site_fract_z
Hf1 Hf 0.000 0.000 0.243
Hf2 Hf 0.000 0.000 0.757
Cr1 Cr 0.500 0.500 0.500
Fe1 Fe 0.500 0.500 0.000
```

***

Record 9
An optimized crystal structure of LuHfRu, computed with PBE.

Output
DOS at the Fermi energy in states/eV/f.u.: 1.7
SG: I4mm, No. 107
Raw total energy in eV per atom: -8.296

The structure in CIF format:
```
data_LuHfRu
_cell_length_a 6.109
_cell_length_b 6.109
_cell_length_c 6.109
_cell_angle_alpha 148.61
_cell_angle_beta 148.61
_cell_angle_gamma 44.98
_space_group_name_H-M_alt 'P 1'
_space_group_IT_number 1
loop_
_space_group_symop_operation_xyz
'x,y,z'
loop_
_atom_site_label
_atom_site_type_symbol
_atom_site_fract_x
_atom_site_fract_y
_atom_site_fract_z
Lu1 Lu 0.000 0.000 0.000
Hf1 Hf 0.713 0.713 0.000
Ru1 Ru 0.341 0.341 0.000
```

***

Record 10
An optimized crystal structure of Zn2CdAu, computed with PBE.

Output
DOS at the Fermi energy in states/eV/f.u.: 0.4
Relative energy among the computed polymorphs in meV/atom: 83.8
SG: R-3m, No. 166

The structure in CIF format:
```
data_Zn2CdAu
_cell_length_a 10.608
_cell_length_b 10.608
_cell_length_c 10.608
_cell_angle_alpha 15.49
_cell_angle_beta 15.49
_cell_angle_gamma 15.49
_space_group_name_H-M_alt 'P 1'
_space_group_IT_number 1
loop_
_space_group_symop_operation_xyz
'x,y,z'
loop_
_atom_site_label
_atom_site_type_symbol
_atom_site_fract_x
_atom_site_fract_y
_atom_site_fract_z
Zn1 Zn 0.241 0.241 0.241
Zn2 Zn 0.759 0.759 0.759
Cd1 Cd 0.000 0.000 0.000
Au1 Au 0.500 0.500 0.500
```